[1]
Density functional theory data (GGA-PBEsol) for a relaxed structure of Sr2NiSnSe.

Computed properties:
Formation energy without anion corrections: 0.0733 eV/atom
N(E_F): 5.63 states/eV/cell

Unit cell a=5.3997 b=5.6785 c=5.6785 alpha=90.00 beta=90.00 gamma=90.00
Site moments in Bohr magnetons follow the coordinates.
Sites, in units of the cell vectors:
Sr  0.0000  0.0000  0.5000  -0.01
Sr  0.0000  0.5000  0.0000  -0.01
Sn  0.5000  0.0000  0.0000  0.01
Se  0.0000  0.0000  0.0000  0.00
Ni  0.5000  0.5000  0.5000  0.57

=====

[2]
Density functional theory data (GGA-PBEsol) for a relaxed structure of Mn2CuOs.

Computed properties:
Calculated formation energy: 284.7 meV per atom
N(E_F): 4.72 states/eV/cell

Unit cell a=2.6075 b=4.3675 c=4.4225 alpha=99.76 beta=107.15 gamma=90.00
Site moments in Bohr magnetons follow the coordinates.
Sites, in units of the cell vectors:
Cu  0.0000  0.5000  0.0000  0.04
Mn  0.2498  0.2534  0.4996  1.45
Mn  0.7502  0.7466  0.5004  1.45
Os  0.5000  0.0000  0.0000  -0.14

=====

[3]
Density functional theory data (GGA-PBEsol) for a relaxed structure of SiP2SCl.

Computed properties:
Relative energy among the computed polymorphs: 0 meV/atom
Formation energy without anion corrections: 0.8836 eV/atom
N(E_F): 3.58 states/eV/cell

Unit cell a=4.5434 b=4.5434 c=4.5083 alpha=90.00 beta=90.00 gamma=90.00
Sites, in units of the cell vectors:
P  0.0000  0.5000  0.0000
P  0.5000  0.0000  0.0000
S  0.0000  0.0000  0.0000
Si  0.5000  0.5000  0.5000
Cl  0.0000  0.0000  0.5000

=====

[4]
Density functional theory data (GGA-PBEsol) for a relaxed structure of Cs2RbAuF6.

Computed properties:
Formation energy without anion corrections: -2.0800 eV/atom

Unit cell a=6.6616 b=6.6616 c=6.6616 alpha=60.00 beta=60.00 gamma=60.00
Site moments in Bohr magnetons follow the coordinates.
Sites, in units of the cell vectors:
Cs  0.7500  0.7500  0.7500  0.00
Cs  0.2500  0.2500  0.2500  0.00
Rb  0.5000  0.5000  0.5000  0.02
Au  0.0000  0.0000  0.0000  1.05
F  0.7755  0.2245  0.2245  0.14
F  0.7755  0.7755  0.2245  0.14
F  0.2245  0.7755  0.7755  0.14
F  0.7755  0.2245  0.7755  0.14
F  0.2245  0.7755  0.2245  0.14
F  0.2245  0.2245  0.7755  0.14

=====

[5]
Density functional theory data (GGA-PBEsol) for a relaxed structure of Rb3MnCr.

Computed properties:
Calculated formation energy: 1415.8 meV per atom
N(E_F): 7.48 states/eV/cell

Unit cell a=6.7713 b=6.7713 c=6.7713 alpha=90.00 beta=90.00 gamma=90.00
Site moments in Bohr magnetons follow the coordinates.
Sites, in units of the cell vectors:
Cr  0.0000  0.0000  0.0000  4.30
Mn  0.5000  0.5000  0.5000  4.42
Rb  0.0000  0.5000  0.0000  0.03
Rb  0.0000  0.0000  0.5000  0.03
Rb  0.5000  0.0000  0.0000  0.03

=====

[6]
Density functional theory data (GGA-PBEsol) for a relaxed structure of Sc2AgHg.

Computed properties:
Calculated formation energy: -426.6 meV per atom
N(E_F): 2.55 states/eV/cell

Unit cell a=3.3712 b=4.8141 c=4.9170 alpha=90.00 beta=90.00 gamma=90.00
Sites, in units of the cell vectors:
Sc  0.0000  0.0000  0.1057
Sc  0.0000  0.5000  0.6470
Hg  0.5000  0.5000  0.1631
Ag  0.5000  0.0000  0.5842

=====

Number 1: total magnetic moment 0.49 Bohr magnetons per cell. Number 2: total magnetic moment 2.86 Bohr magnetons per cell. Number 3: total magnetic moment 0.00 Bohr magnetons per cell. Number 4: total magnetic moment 2.00 Bohr magnetons per cell. Number 5: total magnetic moment 10.75 Bohr magnetons per cell. Number 6: total magnetic moment 0.00 Bohr magnetons per cell.